# 1
{"formula": "NaMnBiOs", "functional": "PBE-GGA", "state": "optimized geometry", "cell": [[1.754, 1.013, 8.546], [-1.754, 1.013, 8.546], [0.000, -2.025, 8.546]], "species": ["Na", "Mn", "Bi", "Os"], "fractional_positions": [[0.000, 0.000, 0.000], [0.427, 0.427, 0.427], [0.553, 0.553, 0.553], [0.134, 0.134, 0.134]], "total_energy_ev_per_cell": -23.3, "formation_energy_ev_per_atom": 0.581, "spacegroup": "No. 160"}

# 2
{"formula": "Mn2CuBr", "functional": "PBE-GGA", "state": "optimized geometry", "cell": [[2.840, -3.701, 0.000], [2.840, 3.701, 0.000], [0.000, 0.000, 3.144]], "species": ["Mn", "Mn", "Cu", "Br"], "fractional_positions": [[0.000, 0.500, 0.000], [0.500, 0.000, 0.000], [0.000, 0.000, 0.500], [0.500, 0.500, 0.500]], "formation_energy_uncorrected_ev_per_fu": 2.10, "total_energy_ev_per_cell": -22.0, "spacegroup": "No. 65"}

# 3
{"formula": "CsTiHgS3", "functional": "PBE-GGA", "state": "optimized geometry", "cell": [[3.668, -6.865, 0.000], [3.668, 6.865, 0.000], [-0.556, 0.000, 6.709]], "species": ["Cs", "Cs", "Ti", "Ti", "Hg", "Hg", "S", "S", "S", "S", "S", "S"], "fractional_positions": [[0.233, 0.767, 0.750], [0.767, 0.233, 0.250], [0.447, 0.553, 0.250], [0.553, 0.447, 0.750], [0.080, 0.920, 0.250], [0.920, 0.080, 0.750], [0.273, 0.292, 0.491], [0.286, 0.714, 0.250], [0.292, 0.273, 0.991], [0.708, 0.727, 0.009], [0.714, 0.286, 0.750], [0.727, 0.708, 0.509]], "formation_energy_uncorrected_ev_per_fu": -5.68, "total_energy_ev_per_cell": -54.2, "spacegroup": "No. 15"}

Please write out number 2 again, unchanged.
{"formula": "Mn2CuBr", "functional": "PBE-GGA", "state": "optimized geometry", "cell": [[2.840, -3.701, 0.000], [2.840, 3.701, 0.000], [0.000, 0.000, 3.144]], "species": ["Mn", "Mn", "Cu", "Br"], "fractional_positions": [[0.000, 0.500, 0.000], [0.500, 0.000, 0.000], [0.000, 0.000, 0.500], [0.500, 0.500, 0.500]], "formation_energy_uncorrected_ev_per_fu": 2.10, "total_energy_ev_per_cell": -22.0, "spacegroup": "No. 65"}

> What is the formula in the third record?

CsTiHgS3